[1]
Ce3GeB2Pt9 | PBE | relaxed

## Properties
The electronic total energy is -101.55 eV/cell.

Cell: 5.7642 5.7642 9.4193 Å, 90.00 90.00 120.00°
Last column: nearest neighbours and their distance in Å.
Space group P-3m1 (No. 164)
Asymmetric unit:
Ce  0.0000  0.0000  0.0000 (multiplicity 1)  12 Pt 2.88-3.20
Ce  0.3333  0.6667  0.6071 (multiplicity 2)  6 Pt 3.04
Ge  0.0000  0.0000  0.5000 (multiplicity 1)  6 Pt 2.58
B  0.3333  0.6667  0.1495 (multiplicity 2)  6 Pt 2.13-2.18
Pt  0.0000  0.5000  0.0000 (multiplicity 3)  2 B 2.18
Pt  0.1667  0.3334  0.2904 (multiplicity 6)  1 B 2.13

=====

[2]
Ce3GeB2Rh9 | PBE | relaxed

## Properties
The electronic total energy is -112.22 eV/cell.

Cell: 5.8173 5.8173 8.5024 Å, 90.00 90.00 120.00°
Last column: nearest neighbours and their distance in Å.
Space group P-3m1 (No. 164)
Asymmetric unit:
Ce  0.0000  0.0000  0.0000 (multiplicity 1)  12 Rh 2.91-2.95
Ce  0.3333  0.6667  0.6474 (multiplicity 2)  6 Rh 2.96
Ge  0.0000  0.0000  0.5000 (multiplicity 1)  6 Rh 2.46
B  0.3333  0.6667  0.1476 (multiplicity 2)  6 Rh 2.06-2.10
Rh  0.0000  0.5000  0.0000 (multiplicity 3)  2 B 2.10
Rh  0.1650  0.3301  0.2862 (multiplicity 6)  1 B 2.06

=====

[3]
Ce4GeB3Rh12 | PBE | relaxed

## Properties
The electronic total energy is -300.23 eV/cell.

Cell: 8.6539 8.6539 8.6539 Å, 90.00 90.00 90.00°
Last column: nearest neighbours and their distance in Å.
Space group Im-3m (No. 229)
Asymmetric unit:
Ce  0.2500  0.2500  0.2500 (multiplicity 8)  12 Rh 3.06
Ge  0.0000  0.0000  0.0000 (multiplicity 2)  6 Rh 2.33
B  0.0000  0.0000  0.5000 (multiplicity 6)  6 Rh 1.99-2.16
Rh  0.0000  0.0000  0.2696 (multiplicity 12)  1 B 1.99
Rh  0.0000  0.2500  0.5000 (multiplicity 12)  2 B 2.16

=====

[4]
Ce2GeB2Rh5 | PBE | relaxed

## Properties
The electronic total energy is -147.05 eV/cell.

Cell: 9.4973 9.4973 3.3108 Å, 90.00 90.00 90.00°
Last column: nearest neighbours and their distance in Å.
Space group P4/mbm (No. 127)
Asymmetric unit:
Ce  0.1769  0.3231  0.0000 (multiplicity 4)  3 B 2.72-2.88, 10 Rh 2.90-3.03
Ge  0.0000  0.0000  0.0000 (multiplicity 2)  8 Rh 2.75
B  0.1209  0.6209  0.0000 (multiplicity 4)  6 Rh 2.29-2.32
Rh  0.0000  0.5000  0.5000 (multiplicity 2)  4 B 2.32
Rh  0.0702  0.7796  0.5000 (multiplicity 8)  2 B 2.29

=====

[5]
Ce2GeB2Ru5 | PBE | relaxed

## Properties
The electronic total energy is -163.18 eV/cell.

Cell: 9.6390 9.6390 3.1213 Å, 90.00 90.00 90.00°
Last column: nearest neighbours and their distance in Å.
Space group P4/mbm (No. 127)
Asymmetric unit:
Ce  0.1761  0.3239  0.0000 (multiplicity 4)  3 B 2.75-2.92, 10 Ru 2.86-3.02
Ge  0.0000  0.0000  0.0000 (multiplicity 2)  8 Ru 2.70
B  0.1224  0.6224  0.0000 (multiplicity 4)  6 Ru 2.25-2.28
Ru  0.0000  0.5000  0.5000 (multiplicity 2)  4 B 2.28
Ru  0.0702  0.7825  0.5000 (multiplicity 8)  2 B 2.25

=====

[6]
CeTc2Ge2B | PBE | relaxed

## Properties
The electronic total energy is -45.76 eV/cell.

Cell: 4.2587 4.2587 5.4338 Å, 90.00 90.00 90.00°
Last column: nearest neighbours and their distance in Å.
Space group P4/mmm (No. 123)
Asymmetric unit:
Ce  0.0000  0.0000  0.0000 (multiplicity 1)  2 B 2.72
Tc  0.0000  0.5000  0.5000 (multiplicity 2)  2 B 2.13
Ge  0.5000  0.5000  0.2293 (multiplicity 2)  1 Ge 2.49, 4 Tc 2.59
B  0.0000  0.0000  0.5000 (multiplicity 1)  4 Tc 2.13

=====

[7]
CeBH3 | PBE | relaxed

## Properties
The electronic total energy is -94.84 eV/cell.

Cell: 13.4598 3.1802 4.8010 Å, 90.00 96.38 90.00°
Last column: nearest neighbours and their distance in Å.
Space group C2/m (No. 12)
Asymmetric unit:
Ce  0.1205  0.0000  0.0911 (multiplicity 4)  9 H 2.26-2.50
B  0.2339  0.0000  0.5703 (multiplicity 4)  2 H 1.28-1.32
H  0.0107  0.5000  0.7980 (multiplicity 4)  1 H 1.99
H  0.1400  0.0000  0.5927 (multiplicity 4)  1 B 1.28
H  0.2399  0.5000  0.1560 (multiplicity 4)  1 B 1.32

=====

[8]
CeBH6 | PBE | relaxed

## Properties
The electronic total energy is -66.96 eV/cell.

Cell: 5.1539 6.0707 3.9653 Å, 90.00 105.37 90.00°
Last column: nearest neighbours and their distance in Å.
Space group C2/m (No. 12)
Asymmetric unit:
Ce  0.0000  0.0000  0.0000 (multiplicity 2)  12 H 2.27-2.38
B  0.0000  0.5000  0.5000 (multiplicity 2)  6 H 1.40-1.41
H  0.0966  0.3390  0.7571 (multiplicity 8)  1 B 1.40
H  0.2452  0.0000  0.5679 (multiplicity 4)  1 B 1.41